A relaxed structure of Mn3B7BrO13, computed with PBE+U.

Cell: 8.807 8.785 12.454 Å, 90.00 90.00 90.00°
Space group Pca2_1 (No. 29)
Asymmetric unit:
Mn1 0.011 0.030 0.000 (multiplicity 4)
Mn2 0.012 0.471 0.004 (multiplicity 4)
Mn3 0.240 0.252 0.278 (multiplicity 4)
B1 0.001 0.003 0.753 (multiplicity 4)
B2 0.001 0.496 0.755 (multiplicity 4)
B3 0.044 0.751 0.153 (multiplicity 4)
B4 0.095 0.750 0.683 (multiplicity 4)
B5 0.242 0.753 0.007 (multiplicity 4)
B6 0.245 0.599 0.835 (multiplicity 4)
B7 0.245 0.902 0.834 (multiplicity 4)
Br1 0.239 0.251 0.999 (multiplicity 4)
O1 0.030 0.158 0.229 (multiplicity 4)
O2 0.034 0.907 0.153 (multiplicity 4)
O3 0.039 0.333 0.727 (multiplicity 4)
O4 0.045 0.594 0.665 (multiplicity 4)
O5 0.092 0.536 0.850 (multiplicity 4)
O6 0.094 0.944 0.344 (multiplicity 4)
O7 0.117 0.677 0.070 (multiplicity 4)
O8 0.143 0.817 0.581 (multiplicity 4)
O9 0.162 0.024 0.780 (multiplicity 4)
O10 0.162 0.488 0.277 (multiplicity 4)
O11 0.179 0.875 0.941 (multiplicity 4)
O12 0.186 0.637 0.438 (multiplicity 4)
O13 0.227 0.750 0.768 (multiplicity 4)

As for the volume: 964 Å³ per cell. The density of states at the Fermi level comes out at 0.0000 states/eV/atom. Its energy above the most stable polymorph in this dataset is 0 meV per atom.